GaIr3Cl | PBE | relaxed

Output
Formation energy without anion corrections, eV/f.u.: 8.47
Calculated total energy, eV per atom: -4.60
Density, Mg/m³: 11.11
Density of states at the Fermi level, states/eV/f.u.: 6.2
Spin magnetization, μB/cell: 3.64

Geometry as CIF:
```
data_GaIr3Cl
_cell_length_a 4.6708
_cell_length_b 4.6708
_cell_length_c 4.6708
_cell_angle_alpha 90.00
_cell_angle_beta 90.00
_cell_angle_gamma 90.00
_symmetry_space_group_name_H-M 'P m -3 m'
_symmetry_Int_Tables_number 221
_symmetry_space_group_name_Hall '-P 4 2 3'
loop_
_atom_site_label
_atom_site_type_symbol
_atom_site_fract_x
_atom_site_fract_y
_atom_site_fract_z
Ga1 Ga 0.0000 0.0000 0.0000
Ir1 Ir 0.0000 0.0000 0.5000
Cl1 Cl 0.5000 0.5000 0.5000
```

***

Ga3IrCl | PBE | relaxed

Output
Formation energy without anion corrections, eV/f.u.: -2.59
Calculated total energy, eV per atom: -4.48
Density, Mg/m³: 6.36
Density of states at the Fermi level, states/eV/f.u.: 2.1
Spin magnetization, μB/cell: 0.00

Geometry as CIF:
```
data_Ga3IrCl
_cell_length_a 4.8504
_cell_length_b 4.8504
_cell_length_c 4.8504
_cell_angle_alpha 90.00
_cell_angle_beta 90.00
_cell_angle_gamma 90.00
_symmetry_space_group_name_H-M 'P m -3 m'
_symmetry_Int_Tables_number 221
_symmetry_space_group_name_Hall '-P 4 2 3'
loop_
_atom_site_label
_atom_site_type_symbol
_atom_site_fract_x
_atom_site_fract_y
_atom_site_fract_z
Ga1 Ga 0.0000 0.0000 0.5000
Ir1 Ir 0.0000 0.0000 0.0000
Cl1 Cl 0.5000 0.5000 0.5000
```

***

GaIrCl3 | PBE | relaxed

Output
Formation energy without anion corrections, eV/f.u.: 3.12
Calculated total energy, eV per atom: -2.86
Density, Mg/m³: 5.25
Density of states at the Fermi level, states/eV/f.u.: 6.6
Spin magnetization, μB/cell: 2.86

Geometry as CIF:
```
data_GaIrCl3
_cell_length_a 4.8854
_cell_length_b 4.8854
_cell_length_c 4.8854
_cell_angle_alpha 90.00
_cell_angle_beta 90.00
_cell_angle_gamma 90.00
_symmetry_space_group_name_H-M 'P m -3 m'
_symmetry_Int_Tables_number 221
_symmetry_space_group_name_Hall '-P 4 2 3'
loop_
_atom_site_label
_atom_site_type_symbol
_atom_site_fract_x
_atom_site_fract_y
_atom_site_fract_z
Ga1 Ga 0.0000 0.0000 0.0000
Ir1 Ir 0.5000 0.5000 0.5000
Cl1 Cl 0.0000 0.0000 0.5000
```

***

GaIr3Cl | PBE | relaxed

Output
Formation energy without anion corrections, eV/f.u.: 7.55
Calculated total energy, eV per atom: -4.78
Density, Mg/m³: 12.82
Density of states at the Fermi level, states/eV/f.u.: 4.3
Spin magnetization, μB/cell: 0.00

Geometry as CIF:
```
data_GaIr3Cl
_cell_length_a 4.4534
_cell_length_b 4.4534
_cell_length_c 4.4534
_cell_angle_alpha 90.00
_cell_angle_beta 90.00
_cell_angle_gamma 90.00
_symmetry_space_group_name_H-M 'P m -3 m'
_symmetry_Int_Tables_number 221
_symmetry_space_group_name_Hall '-P 4 2 3'
loop_
_atom_site_label
_atom_site_type_symbol
_atom_site_fract_x
_atom_site_fract_y
_atom_site_fract_z
Ga1 Ga 0.0000 0.0000 0.0000
Ir1 Ir 0.0000 0.5000 0.5000
Cl1 Cl 0.5000 0.5000 0.5000
```

***

La8GaIr3Cl4 | PBE | relaxed

Output
Formation energy without anion corrections, eV/f.u.: -20.44
Calculated total energy, eV per atom: -6.05
Density, Mg/m³: 6.66
Density of states at the Fermi level, states/eV/f.u.: 14.4
Spin magnetization, μB/cell: 0.00

Geometry as CIF:
```
data_La8GaIr3Cl4
_cell_length_a 14.8161
_cell_length_b 8.5539
_cell_length_c 8.9577
_cell_angle_alpha 90.00
_cell_angle_beta 123.46
_cell_angle_gamma 90.00
_symmetry_space_group_name_H-M 'C 1 2/m 1'
_symmetry_Int_Tables_number 12
loop_
_symmetry_equiv_pos_as_xyz
'x,y,z'
'-x,-y,-z'
'-x,y,-z'
'x,-y,z'
'x+1/2,y+1/2,z'
'-x+1/2,-y+1/2,-z'
'-x+1/2,y+1/2,-z'
'x+1/2,-y+1/2,z'
loop_
_atom_site_label
_atom_site_type_symbol
_atom_site_fract_x
_atom_site_fract_y
_atom_site_fract_z
La1 La 0.0170 0.2391 0.2914
La2 La 0.2374 0.0000 0.7118
La3 La 0.2429 0.5000 0.7056
Ga1 Ga 0.0000 0.5000 0.5000
Ir1 Ir 0.0000 0.0000 0.5000
Ir2 Ir 0.2500 0.2500 0.5000
Cl1 Cl 0.0000 0.0000 0.0000
Cl2 Cl 0.0000 0.5000 0.0000
Cl3 Cl 0.2500 0.2500 0.0000
```

***

La4GaIrCl2 | PBE | relaxed

Output
Formation energy without anion corrections, eV/f.u.: -9.33
Calculated total energy, eV per atom: -5.58
Density, Mg/m³: 6.27
Density of states at the Fermi level, states/eV/f.u.: 6.8
Spin magnetization, μB/cell: 0.00

Geometry as CIF:
```
data_La4GaIrCl2
_cell_length_a 7.6300
_cell_length_b 4.2028
_cell_length_c 7.7243
_cell_angle_alpha 90.00
_cell_angle_beta 108.21
_cell_angle_gamma 90.00
_symmetry_space_group_name_H-M 'P 1 2/m 1'
_symmetry_Int_Tables_number 10
loop_
_symmetry_equiv_pos_as_xyz
'x,y,z'
'-x,-y,-z'
'-x,y,-z'
'x,-y,z'
loop_
_atom_site_label
_atom_site_type_symbol
_atom_site_fract_x
_atom_site_fract_y
_atom_site_fract_z
La1 La 0.2312 0.0000 0.2158
La2 La 0.2325 0.5000 0.7759
Ga1 Ga 0.5000 0.0000 0.0000
Ir1 Ir 0.0000 0.5000 0.0000
Cl1 Cl 0.0000 0.0000 0.5000
Cl2 Cl 0.5000 0.5000 0.5000
```

***

> formation energy without anion corrections of number 6 (La4GaIrCl2)?

-9.33 eV/f.u.

***

Copy entry 3 word for word.
GaIrCl3 | PBE | relaxed

Output
Formation energy without anion corrections, eV/f.u.: 3.12
Calculated total energy, eV per atom: -2.86
Density, Mg/m³: 5.25
Density of states at the Fermi level, states/eV/f.u.: 6.6
Spin magnetization, μB/cell: 2.86

Geometry as CIF:
```
data_GaIrCl3
_cell_length_a 4.8854
_cell_length_b 4.8854
_cell_length_c 4.8854
_cell_angle_alpha 90.00
_cell_angle_beta 90.00
_cell_angle_gamma 90.00
_symmetry_space_group_name_H-M 'P m -3 m'
_symmetry_Int_Tables_number 221
_symmetry_space_group_name_Hall '-P 4 2 3'
loop_
_atom_site_label
_atom_site_type_symbol
_atom_site_fract_x
_atom_site_fract_y
_atom_site_fract_z
Ga1 Ga 0.0000 0.0000 0.0000
Ir1 Ir 0.5000 0.5000 0.5000
Cl1 Cl 0.0000 0.0000 0.5000
```

***

> What is the calculated total energy in the third record?

-2.86 eV per atom